Entry 1:
# AlFe2Pd | OQMD | PBE | relaxed
# Theoretical density, Mg/m³: 7.8
data_AlFe2Pd
_space_group_name_H-M_alt 'F -4 3 m'
_space_group_IT_number 216
_space_group_name_Hall 'F -4 2 3'
_cell_length_a 5.9309
_cell_length_b 5.9309
_cell_length_c 5.9309
_cell_angle_alpha 90.00
_cell_angle_beta 90.00
_cell_angle_gamma 90.00
loop_
_atom_site_label
_atom_site_fract_x
_atom_site_fract_y
_atom_site_fract_z
_atom_site_occupancy
Al1 0.0000 0.0000 0.0000 1
Fe1 0.0000 0.0000 0.5000 1
Fe2 0.2500 0.2500 0.7500 1
Pd1 0.2500 0.2500 0.2500 1

Entry 2:
# AlFePd | OQMD | PBE | relaxed
# Theoretical density, Mg/m³: 6.3
data_AlFePd
_space_group_name_H-M_alt 'F -4 3 m'
_space_group_IT_number 216
_space_group_name_Hall 'F -4 2 3'
_cell_length_a 5.8423
_cell_length_b 5.8423
_cell_length_c 5.8423
_cell_angle_alpha 90.00
_cell_angle_beta 90.00
_cell_angle_gamma 90.00
loop_
_atom_site_label
_atom_site_fract_x
_atom_site_fract_y
_atom_site_fract_z
_atom_site_occupancy
Al1 0.0000 0.0000 0.0000 1
Fe1 0.0000 0.0000 0.5000 1
Pd1 0.2500 0.2500 0.2500 1

Number 1: total energy -107.11 eV for the cell shown. Number 2: total energy -70.19 eV for the cell shown.